Record 1
## CsHg2Sb (GGA-PBE)

Data for CsHg2Sb after structural relaxation.

Output
The calculation puts the formation energy without anion corrections at -0.05 eV/atom.

a = 3.8469 Å, b = 3.8469 Å, c = 9.1396 Å
α = 90.00°, β = 90.00°, γ = 90.00°
Last column: nearest neighbours and their distance in Å.
Space group P4/mmm (No. 123)
Asymmetric unit:
1 Cs 0.0000 0.0000 0.0000  8 Hg 3.80, 4 Cs 3.85
2 Hg 0.5000 0.5000 0.2908  4 Sb 3.33
3 Sb 0.0000 0.0000 0.5000  8 Hg 3.33


Record 2
## Sm2FeAs4Rh3 (GGA-PBE)

Data for Sm2FeAs4Rh3 after structural relaxation.

Output
The calculation puts the formation energy at -8.11 eV per formula unit.

a = 4.2172 Å, b = 4.2172 Å, c = 10.0510 Å
α = 90.00°, β = 90.00°, γ = 90.00°
Last column: nearest neighbours and their distance in Å.
Space group P-4m2 (No. 115)
Asymmetric unit:
1 Sm 0.0000 0.5000 0.2498  6 Rh 3.22-3.28, 8 As 3.22-3.28, 2 Fe 3.28
2 Fe 0.0000 0.0000 0.5000  4 As 2.47
3 As 0.0000 0.0000 0.0000  4 Rh 2.47
4 As 0.0000 0.5000 0.6286  3 Rh 2.44-2.47, 2 Fe 2.47
5 As 0.5000 0.5000 0.0000  4 Rh 2.47
6 Rh 0.0000 0.5000 0.8716  5 As 2.44-2.47
7 Rh 0.5000 0.5000 0.5000  4 As 2.47


Record 3
## K5InAu6 (GGA-PBE)

Data for K5InAu6 after structural relaxation.

Output
The calculation puts the formation energy at -3.09 eV per formula unit.

a = 6.6594 Å, b = 15.7420 Å, c = 7.8838 Å
α = 90.00°, β = 110.42°, γ = 90.00°
Last column: nearest neighbours and their distance in Å.
Space group C2/m (No. 12)
Asymmetric unit:
1 K 0.0000 0.0000 0.0000  6 Au 3.31-3.49
2 K 0.0000 0.3033 0.0000  6 Au 3.25-3.44
3 K 0.0000 0.3573 0.5000  6 Au 3.38-3.65
4 In 0.0000 0.0000 0.5000  6 Au 2.83-2.85
5 Au 0.0386 0.1541 0.6941  1 In 2.83, 1 Au 2.92
6 Au 0.1236 0.5000 0.1845  1 Au 2.80, 1 In 2.85


Record 4
## Nd2PRh (GGA-PBE)

Data for Nd2PRh after structural relaxation.

Output
The value obtained for the polymorph energy (0 for the lowest one) is 75 meV/atom. The calculation puts the formation energy at -3.68 eV per formula unit.

a = 4.1233 Å, b = 4.1233 Å, c = 20.7549 Å
α = 90.00°, β = 90.00°, γ = 120.00°
Last column: nearest neighbours and their distance in Å.
Space group R-3m (No. 166, hexagonal axes)
Asymmetric unit:
1 Nd 0.0000 0.0000 0.2501  3 P 2.94, 3 Rh 2.94
2 P 0.0000 0.0000 0.0000  6 Nd 2.94
3 Rh 0.0000 0.0000 0.5000  6 Nd 2.94


Record 5
## ScCo6 (GGA-PBE)

Data for ScCo6 after structural relaxation.

Output
The value obtained for the polymorph energy (0 for the lowest one) is 0 meV/atom. The calculation puts the formation energy at -0.73 eV per formula unit.

a = 7.6576 Å, b = 4.7086 Å, c = 9.6879 Å
α = 90.00°, β = 90.00°, γ = 90.00°
Last column: nearest neighbours and their distance in Å.
Space group Pnma (No. 62)
Asymmetric unit:
1 Sc 0.2403 0.2500 0.0603  11 Co 2.70-3.01
2 Co 0.0630 0.7500 0.0851  5 Co 2.33-2.55
3 Co 0.0695 0.0106 0.3080  8 Co 2.25-2.49
4 Co 0.0935 0.2500 0.5228  6 Co 2.37-2.64
5 Co 0.1374 0.7500 0.8519  7 Co 2.33-2.55
6 Co 0.1844 0.2500 0.7564  9 Co 2.30-2.55


Record 6
## TlHg2PdBr6 (GGA-PBE)

Data for TlHg2PdBr6 after structural relaxation.

Output
The calculation puts the formation energy without anion corrections at -0.41 eV/atom.

a = 16.7380 Å, b = 11.3227 Å, c = 8.7838 Å
α = 90.00°, β = 117.49°, γ = 90.00°
Last column: nearest neighbours and their distance in Å.
Space group C2/c (No. 15)
Asymmetric unit:
1 Tl 0.0000 0.0877 0.2500  1 Pd 2.96
2 Hg 0.2122 0.4074 0.1461  4 Br 2.60-2.86
3 Pd 0.0000 0.1733 0.7500  4 Br 2.55
4 Br 0.1193 0.1907 0.0632  1 Pd 2.55, 1 Hg 2.81
5 Br 0.1227 0.1762 0.6543  1 Pd 2.55, 1 Hg 2.67
6 Br 0.1448 0.4483 0.3871  2 Hg 2.60-2.86


Record 7
## ZrTi2Ru2 (GGA-PBE)

Data for ZrTi2Ru2 after structural relaxation.

Output
The value obtained for the polymorph energy (0 for the lowest one) is 80 meV/atom. The calculation puts the formation energy at -1.33 eV per formula unit.

a = 4.0363 Å, b = 4.0363 Å, c = 11.0308 Å
α = 90.00°, β = 90.00°, γ = 90.00°
Last column: nearest neighbours and their distance in Å.
Space group I4/mmm (No. 139)
Asymmetric unit:
1 Zr 0.0000 0.0000 0.0000  8 Ru 3.12, 8 Ti 3.42
2 Ti 0.0000 0.5000 0.2500  4 Ru 2.52
3 Ru 0.0000 0.0000 0.3862  1 Ru 2.51, 4 Ti 2.52


Record 8
## Dy2BSe (GGA-PBE)

Data for Dy2BSe after structural relaxation.

Output
The calculation puts the formation energy without anion corrections at -0.93 eV/atom.

a = 3.8228 Å, b = 3.8228 Å, c = 20.4880 Å
α = 90.00°, β = 90.00°, γ = 120.00°
Last column: nearest neighbours and their distance in Å.
Space group R-3m (No. 166, hexagonal axes)
Asymmetric unit:
1 Dy 0.0000 0.0000 0.2405  3 B 2.68, 3 Se 2.91
2 B 0.0000 0.0000 0.5000  6 Dy 2.68
3 Se 0.0000 0.0000 0.0000  6 Dy 2.91


Record 9
## GdHfAg2 (GGA-PBE)

Data for GdHfAg2 after structural relaxation.

Output
The value obtained for the polymorph energy (0 for the lowest one) is 0 meV/atom. The calculation puts the formation energy at -0.29 eV per formula unit.

a = 3.4616 Å, b = 3.4616 Å, c = 7.3754 Å
α = 90.00°, β = 90.00°, γ = 90.00°
Last column: nearest neighbours and their distance in Å.
Space group P4/mmm (No. 123)
Asymmetric unit:
1 Gd 0.0000 0.0000 0.0000  8 Ag 3.21, 4 Gd 3.46
2 Hf 0.0000 0.0000 0.5000  8 Ag 2.93
3 Ag 0.5000 0.5000 0.2812  4 Hf 2.93, 4 Gd 3.21, 1 Ag 3.23


Record 10
## Mn2CdNiN (GGA-PBE)

Data for Mn2CdNiN after structural relaxation.

Output
The calculation puts the formation energy without anion corrections at -0.08 eV/atom.

a = 3.8595 Å, b = 3.8595 Å, c = 4.0450 Å
α = 90.00°, β = 90.00°, γ = 90.00°
Last column: nearest neighbours and their distance in Å.
Space group P4/mmm (No. 123)
Asymmetric unit:
1 Mn 0.0000 0.5000 0.0000  2 N 1.93
2 Cd 0.0000 0.0000 0.5000  4 Ni 2.73, 8 Mn 2.80
3 Ni 0.5000 0.5000 0.5000  2 N 2.02
4 N 0.5000 0.5000 0.0000  4 Mn 1.93, 2 Ni 2.02


Record 11
## La2HoAu (GGA-PBE)

Data for La2HoAu after structural relaxation.

Output
The value obtained for the polymorph energy (0 for the lowest one) is 307 meV/atom. The calculation puts the formation energy at -0.15 eV per formula unit.

a = 3.5857 Å, b = 3.5857 Å, c = 34.1169 Å
α = 90.00°, β = 90.00°, γ = 120.00°
Last column: nearest neighbours and their distance in Å.
Space group R-3m (No. 166, hexagonal axes)
Asymmetric unit:
1 La 0.0000 0.0000 0.0975  3 Au 3.14, 1 Ho 3.33
2 Ho 0.0000 0.0000 0.0000  2 La 3.33, 6 Ho 3.59
3 Au 0.0000 0.0000 0.5000  6 La 3.14


Record 12
## CsAu3S (GGA-PBE)

Data for CsAu3S after structural relaxation.

Output
The calculation puts the formation energy without anion corrections at 0.06 eV/atom. The value obtained for the polymorph energy (0 for the lowest one) is 0 meV/atom.

a = 5.1513 Å, b = 5.1513 Å, c = 5.1513 Å
α = 90.00°, β = 90.00°, γ = 90.00°
Last column: nearest neighbours and their distance in Å.
Space group Pm-3m (No. 221)
Asymmetric unit:
1 Cs 0.0000 0.0000 0.0000  12 Au 3.64
2 Au 0.0000 0.5000 0.5000  2 S 2.58
3 S 0.5000 0.5000 0.5000  6 Au 2.58


Number 1: density 8.05 g/cm3. Number 2: density 8.96 g/cm3. Number 3: density 6.40 g/cm3. Number 4: density 6.89 g/cm3. Number 5: density 7.58 g/cm3. Number 6: density 5.36 g/cm3. Number 7: density 7.19 g/cm3. Number 8: density 7.97 g/cm3. Number 9: density 10.36 g/cm3. Number 10: density 8.13 g/cm3. Number 11: density 8.39 g/cm3. Number 12: density 9.18 g/cm3.